This record from the Alexandria database describes crystalline Ti3Mn2NbP6O24 at its relaxed geometry. The functional is PBE with a Hubbard U.

Properties
* electronic total energy: -7.948 eV/atom

Unit cell a=8.7398 b=8.7398 c=21.3183 alpha=90.00 beta=90.00 gamma=120.00
Space group R3 (No. 146, hexagonal axes)
Inequivalent atoms, fractional coordinates:
Ti (0.0000, 0.0000, 0.0000)
Ti (0.0000, 0.0000, 0.2086)
Ti (0.0000, 0.0000, 0.4998)
Mn (0.0000, 0.0000, 0.3538)
Mn (0.0000, 0.0000, 0.8565)
Nb (0.0000, 0.0000, 0.7100)
P (0.9999, 0.7028, 0.6030)
P (0.0048, 0.2940, 0.1044)
O (0.0013, 0.8013, 0.6635)
O (0.0073, 0.1955, 0.1636)
O (0.0164, 0.8332, 0.2749)
O (0.0190, 0.1891, 0.7773)
O (0.1409, 0.4721, 0.7113)
O (0.1408, 0.6677, 0.2116)
O (0.1672, 0.6841, 0.5989)
O (0.1697, 0.4814, 0.0990)